A plane-wave DFT calculation with PBE-GGA was carried out for a geometry-optimized GdCdPt structure.

Cell: 3.548 4.705 4.705 Å, 120.00 90.00 90.00°
Atoms (fractional coordinates):
Pt1 0.167 0.000 0.000
Gd1 0.667 0.667 0.333
Cd1 0.167 0.333 0.667

Values from the calculation:
Its density of states at the Fermi level is 0.8268 states/eV/atom. The space group is P-6m2, No. 187. The calculation puts the total energy at -23.07 eV per formula unit. Its formation energy is -2.0 eV per formula unit.

A plane-wave DFT calculation with PBE-GGA was carried out for a geometry-optimized La6In2RuRh structure.

Cell: 7.846 7.616 7.880 Å, 120.85 119.90 90.04°
Atoms (fractional coordinates):
Rh1 0.000 0.000 0.000
La1 0.672 0.763 0.938
La2 0.187 0.250 0.504
La3 0.812 0.751 0.496
Ru1 0.500 0.500 0.000
In1 0.247 0.748 0.498
La4 0.760 0.265 0.937
La5 0.328 0.238 0.061
La6 0.240 0.735 0.063
In2 0.753 0.253 0.502

Values from the calculation:
Its density of states at the Fermi level is 0.6764 states/eV/atom. The space group is P-1, No. 2. The calculation puts the total energy at -55.90 eV per formula unit. Its formation energy is -4.2 eV per formula unit.

A plane-wave DFT calculation with PBE-GGA was carried out for a geometry-optimized YScReMo2 structure.

Cell: 4.814 5.217 4.814 Å, 90.00 90.00 90.00°
Atoms (fractional coordinates):
Y1 0.000 0.500 0.000
Sc1 0.500 0.500 0.500
Mo1 0.500 0.000 0.000
Mo2 0.000 0.000 0.500
Re1 0.000 0.000 0.000

Values from the calculation:
Its density of states at the Fermi level is 1.5097 states/eV/atom. The space group is P4/mmm, No. 123. The calculation puts the total energy at -41.94 eV per formula unit. Its formation energy is 5.0 eV per formula unit.